Compound: SmBi2
Source: OQMD via LeMat-Bulk
Functional: PBE
Structure: optimized geometry

Values from the calculation:
Space group: P6/mmm
Uncorrected energy, eV/atom: -4.615

Lattice parameters (Å, degrees): 5.6235 5.6235 3.3506 90.00 90.00 120.00
Positions (direct):
Sm 0.0000 0.0000 0.0000
Bi 0.3333 0.6667 0.5000
Bi 0.6667 0.3333 0.5000

***

Compound: SiGePt2
Source: OQMD via LeMat-Bulk
Functional: PBE
Structure: optimized geometry

Values from the calculation:
Distance to the lowest polymorph of the same formula, meV per atom: 7
Space group: Pmn2_1

Lattice parameters (Å, degrees): 3.6531 5.8135 6.0631 90.00 90.00 90.00
Positions (direct):
Si 0.0000 0.0664 0.0000
Si 0.5000 0.9336 0.5000
Ge 0.0000 0.5628 0.3307
Ge 0.5000 0.4372 0.8307
Pt 0.0000 0.2393 0.6087
Pt 0.0000 0.7634 0.7208
Pt 0.5000 0.2366 0.2208
Pt 0.5000 0.7607 0.1087

***

Record-wise theoretical density values, in kg/m³: 10284 12661